Below is Li4VAs2O9 at its PBEsol-relaxed geometry, with properties calculated at the meta-GGA SCAN level.

Structure (CIF):
```
data_Li4VAs2O9
_symmetry_space_group_name_H-M 'P 4/n c c'
_symmetry_Int_Tables_number 130
_cell_length_a 8.8016
_cell_length_b 8.8016
_cell_length_c 9.5711
_cell_angle_alpha 90.00
_cell_angle_beta 90.00
_cell_angle_gamma 90.00
loop_
_symmetry_equiv_pos_as_xyz
'x,y,z'
'-x,-y,-z'
'-y+1/2,x,z'
'y+1/2,-x,-z'
'-x+1/2,-y+1/2,z'
'x+1/2,y+1/2,-z'
'y,-x+1/2,z'
'-y,x+1/2,-z'
'x+1/2,-y,-z+1/2'
'-x+1/2,y,z+1/2'
'-y,-x,-z+1/2'
'y,x,z+1/2'
'-x,y+1/2,-z+1/2'
'x,-y+1/2,z+1/2'
'y+1/2,x+1/2,-z+1/2'
'-y+1/2,-x+1/2,z+1/2'
loop_
_atom_site_label
_atom_site_fract_x
_atom_site_fract_y
_atom_site_fract_z
_atom_site_occupancy
Li1 0.1230 0.6523 0.0936 1
V1 0.2500 0.2500 0.3347 1
As1 0.0604 0.5604 0.7500 1
O1 0.0664 0.1340 0.2828 1
O2 0.1227 0.6533 0.8937 1
O3 0.2500 0.2500 0.0016 1
```

Computed properties:
- Final energy: -625.232 eV per cell
- Formation energy (no corrections): -2.050 eV per atom
- Volume: 11.585 A^3/atom

Below is LiZnAsO4 at its PBEsol-relaxed geometry, with properties calculated at the meta-GGA SCAN level.

Structure (CIF):
```
data_LiZnAsO4
_symmetry_space_group_name_H-M 'R 3'
_symmetry_Int_Tables_number 146
_symmetry_space_group_name_Hall 'R 3'
_cell_length_a 14.1146
_cell_length_b 14.1146
_cell_length_c 9.3902
_cell_angle_alpha 90.00
_cell_angle_beta 90.00
_cell_angle_gamma 120.00
loop_
_atom_site_label
_atom_site_fract_x
_atom_site_fract_y
_atom_site_fract_z
_atom_site_occupancy
Li1 0.0223 0.8091 0.0000 1
Li2 0.1427 0.4578 0.1654 1
Zn1 0.0194 0.8085 0.6684 1
Zn2 0.1413 0.4524 0.8343 1
As1 0.0176 0.8043 0.3327 1
As2 0.1365 0.4532 0.4994 1
O1 0.0009 0.6756 0.3297 1
O2 0.0100 0.3382 0.5008 1
O3 0.0836 0.8729 0.4844 1
O4 0.0855 0.8751 0.1834 1
O5 0.1034 0.8862 0.8342 1
O6 0.2066 0.4590 0.3484 1
O7 0.2083 0.4573 0.6490 1
O8 0.2121 0.1011 0.3347 1
```

Computed properties:
- Final energy: -1320.633 eV per cell
- Formation energy (no corrections): -1.764 eV per atom
- Volume: 12.858 A^3/atom

Below is Li2AsOs at its PBEsol-relaxed geometry, with properties calculated at the meta-GGA SCAN level.

Structure (CIF):
```
data_Li2AsOs
_symmetry_space_group_name_H-M 'C 1 m 1'
_symmetry_Int_Tables_number 8
_symmetry_space_group_name_Hall 'C -2y'
_cell_length_a 8.6552
_cell_length_b 2.9662
_cell_length_c 4.6973
_cell_angle_alpha 90.00
_cell_angle_beta 111.99
_cell_angle_gamma 90.00
loop_
_atom_site_label
_atom_site_fract_x
_atom_site_fract_y
_atom_site_fract_z
_atom_site_occupancy
Li1 0.0000 0.0000 0.0000 1
Li2 0.2384 0.0000 0.8669 1
As1 0.4948 0.0000 0.4460 1
Os1 0.2685 0.5000 0.4018 1
```

Computed properties:
- Offset from the most stable computed form: 0 kJ/mol of formula units
- Final energy: -195.326 eV per cell
- ΔH_f (0 K): -203 meV/atom
- Volume: 13.978 A^3/atom

Below is LiAs2Os at its PBEsol-relaxed geometry, with properties calculated at the meta-GGA SCAN level.

Structure (CIF):
```
data_LiAs2Os
_symmetry_space_group_name_H-M 'I -4 2 d'
_symmetry_Int_Tables_number 122
_symmetry_space_group_name_Hall 'I -4 2bw'
_cell_length_a 5.9391
_cell_length_b 5.9391
_cell_length_c 10.5216
_cell_angle_alpha 90.00
_cell_angle_beta 90.00
_cell_angle_gamma 90.00
loop_
_atom_site_label
_atom_site_fract_x
_atom_site_fract_y
_atom_site_fract_z
_atom_site_occupancy
Li1 0.0000 0.0000 0.0000 1
As1 0.2048 0.7500 0.6250 1
Os1 0.0000 0.0000 0.5000 1
```

Computed properties:
- Offset from the most stable computed form: 62 kJ/mol of formula units
- Final energy: -457.820 eV per cell
- ΔH_f (0 K): 49 meV/atom
- Volume: 23.196 A^3/atom

Below is LiAs2Os at its PBEsol-relaxed geometry, with properties calculated at the meta-GGA SCAN level.

Structure (CIF):
```
data_LiAs2Os
_symmetry_space_group_name_H-M 'P 4/m m m'
_symmetry_Int_Tables_number 123
_symmetry_space_group_name_Hall '-P 4 2'
_cell_length_a 2.9898
_cell_length_b 2.9898
_cell_length_c 6.9805
_cell_angle_alpha 90.00
_cell_angle_beta 90.00
_cell_angle_gamma 90.00
loop_
_atom_site_label
_atom_site_fract_x
_atom_site_fract_y
_atom_site_fract_z
_atom_site_occupancy
Li1 0.0000 0.0000 0.0000 1
As1 0.5000 0.5000 0.2758 1
Os1 0.0000 0.0000 0.5000 1
```

Computed properties:
- Offset from the most stable computed form: 0 kJ/mol of formula units
- Final energy: -115.097 eV per cell
- ΔH_f (0 K): -111 meV/atom
- Volume: 15.599 A^3/atom

Below is Li2AsOs at its PBEsol-relaxed geometry, with properties calculated at the meta-GGA SCAN level.

Structure (CIF):
```
data_Li2AsOs
_symmetry_space_group_name_H-M 'R 3 m'
_symmetry_Int_Tables_number 160
_symmetry_space_group_name_Hall 'R 3 -2"'
_cell_length_a 2.9415
_cell_length_b 2.9415
_cell_length_c 25.7239
_cell_angle_alpha 90.00
_cell_angle_beta 90.00
_cell_angle_gamma 120.00
loop_
_atom_site_label
_atom_site_fract_x
_atom_site_fract_y
_atom_site_fract_z
_atom_site_occupancy
Li1 0.0000 0.0000 0.0000 1
Li2 0.0000 0.0000 0.2327 1
As1 0.0000 0.0000 0.4838 1
Os1 0.0000 0.0000 0.7483 1
```

Computed properties:
- Offset from the most stable computed form: 103 kJ/mol of formula units
- Final energy: -289.783 eV per cell
- ΔH_f (0 K): 64 meV/atom
- Volume: 16.062 A^3/atom

Below is Li2AsOs at its PBEsol-relaxed geometry, with properties calculated at the meta-GGA SCAN level.

Structure (CIF):
```
data_Li2AsOs
_symmetry_space_group_name_H-M 'I m m 2'
_symmetry_Int_Tables_number 44
_symmetry_space_group_name_Hall 'I 2 -2'
_cell_length_a 3.4051
_cell_length_b 3.9084
_cell_length_c 7.4194
_cell_angle_alpha 90.00
_cell_angle_beta 90.00
_cell_angle_gamma 90.00
loop_
_atom_site_label
_atom_site_fract_x
_atom_site_fract_y
_atom_site_fract_z
_atom_site_occupancy
Li1 0.0000 0.0000 0.0000 1
Li2 0.0000 0.5000 0.2656 1
As1 0.0000 0.0000 0.5113 1
Os1 0.0000 0.5000 0.7575 1
```

Computed properties:
- Offset from the most stable computed form: 20 kJ/mol of formula units
- Final energy: -194.916 eV per cell
- ΔH_f (0 K): -152 meV/atom
- Volume: 12.343 A^3/atom

Below is LiAsOs at its PBEsol-relaxed geometry, with properties calculated at the meta-GGA SCAN level.

Structure (CIF):
```
data_LiAsOs
_symmetry_space_group_name_H-M 'P 3 m 1'
_symmetry_Int_Tables_number 156
_symmetry_space_group_name_Hall 'P 3 -2"'
_cell_length_a 2.9245
_cell_length_b 2.9245
_cell_length_c 6.1949
_cell_angle_alpha 90.00
_cell_angle_beta 90.00
_cell_angle_gamma 120.00
loop_
_atom_site_label
_atom_site_fract_x
_atom_site_fract_y
_atom_site_fract_z
_atom_site_occupancy
Li1 0.0000 0.0000 0.0000 1
As1 0.6667 0.3333 0.3639 1
Os1 0.3333 0.6667 0.6516 1
```

Computed properties:
- Final energy: -94.177 eV per cell
- ΔH_f (0 K): 94 meV/atom
- Volume: 15.295 A^3/atom